Here is an optimized crystal structure of NaLa2Se3 from Alexandria via LeMat-Bulk. Energies are from GGA-PBE.

## Properties
For the formation energy (no corrections), the calculation gives -10.946 eV per formula unit. The total DFT energy (no corrections) comes out at -5.43 eV/atom.

a = 4.303 Å, b = 6.080 Å, c = 13.020 Å
α = 90.00°, β = 90.00°, γ = 90.00°
Space group Immm (No. 71)
One atom of each set of equivalent atoms:
Na (0.000, 0.000, 0.000) [2 per cell]
La (0.000, 0.000, 0.336) [4 per cell]
Se (0.000, 0.500, 0.000) [2 per cell]
Se (0.000, 0.500, 0.331) [4 per cell]